# 1
Material: ErTm2Si6
Method: DFT, PBE
State: relaxed Values from VASP.

Geometry as Quantum ESPRESSO input:
```
&SYSTEM
  ibrav = 0, nat = 9, ntyp = 3
/
ATOMIC_SPECIES
Er 167.26 Er.upf
Tm 168.93 Tm.upf
Si 28.09 Si.upf
CELL_PARAMETERS angstrom
3.8339 0.0000 0.0000
0.0000 6.1482 -3.5497
0.0000 0.0000 7.0994
ATOMIC_POSITIONS crystal
Er 0.0000 0.0000 0.0000
Tm 0.0000 0.3333 0.6667
Tm 0.0000 0.6667 0.3333
Si 0.5000 0.3336 0.3336
Si 0.5000 0.6664 0.6664
Si 0.5000 0.0000 0.6664
Si 0.5000 0.6664 0.0000
Si 0.5000 0.3336 0.0000
Si 0.5000 0.0000 0.3336
```

Output
symmetry = P6/mmm, No. 191
formation energy (no corrections) = -0.481 eV/atom

# 2
Material: BaGa4IrPd2
Method: DFT, PBE
State: relaxed Values from VASP.

Geometry as Quantum ESPRESSO input:
```
&SYSTEM
  ibrav = 0, nat = 8, ntyp = 4
/
ATOMIC_SPECIES
Ba 137.33 Ba.upf
Ga 69.72 Ga.upf
Ir 192.22 Ir.upf
Pd 106.42 Pd.upf
CELL_PARAMETERS angstrom
-1.1146 -2.4353 3.3797
2.9367 -2.5184 1.9048
2.9852 5.7464 7.8762
ATOMIC_POSITIONS crystal
Ba 0.0000 0.0000 0.0000
Ga 0.4099 0.4099 0.7702
Ga 0.8640 0.8640 0.4079
Ga 0.1360 0.1360 0.5921
Ga 0.5901 0.5901 0.2298
Ir 0.5000 0.5000 0.5000
Pd 0.7725 0.7725 0.6826
Pd 0.2275 0.2275 0.3174
```

Output
symmetry = R-3m, No. 166
formation energy = -0.540 eV/atom

# 3
Material: HfTiSn
Method: DFT, PBE
State: relaxed Values from VASP.

Geometry as Quantum ESPRESSO input:
```
&SYSTEM
  ibrav = 0, nat = 6, ntyp = 3
/
ATOMIC_SPECIES
Hf 178.49 Hf.upf
Ti 47.87 Ti.upf
Sn 118.71 Sn.upf
CELL_PARAMETERS angstrom
-1.6459 3.4672 2.9497
-3.1070 -3.0268 -2.1484
0.4276 -3.6720 4.5549
ATOMIC_POSITIONS crystal
Hf 0.5000 0.0000 0.5000
Hf 0.5000 0.0000 0.0000
Ti 0.1666 0.3334 0.2500
Ti 0.8334 0.6666 0.7500
Sn 0.1667 0.3333 0.7500
Sn 0.8333 0.6667 0.2500
```

Output
symmetry = P6_3/mmc, No. 194
formation energy = -0.342 eV/atom

# 4
Material: MnPbAu2
Method: DFT, PBE
State: relaxed Values from VASP.

Geometry as Quantum ESPRESSO input:
```
&SYSTEM
  ibrav = 0, nat = 4, ntyp = 3
/
ATOMIC_SPECIES
Pb 207.20 Pb.upf
Mn 54.94 Mn.upf
Au 196.97 Au.upf
CELL_PARAMETERS angstrom
3.4146 0.0000 0.0000
0.0000 3.2944 0.0142
0.0000 3.2496 7.2551
ATOMIC_POSITIONS crystal
Pb 0.5000 0.7500 0.7500
Mn 0.5000 0.2500 0.2500
Au 0.0000 0.9518 0.0476
Au 0.0000 0.5482 0.4524
```

Output
symmetry = P2/m, No. 10
formation energy = -0.013 eV/atom

# 5
Material: Pr8Rh3SeI4
Method: DFT, PBE
State: relaxed Values from VASP.

Geometry as Quantum ESPRESSO input:
```
&SYSTEM
  ibrav = 0, nat = 16, ntyp = 4
/
ATOMIC_SPECIES
Pr 140.91 Pr.upf
Rh 102.91 Rh.upf
Se 78.96 Se.upf
I 126.90 I.upf
CELL_PARAMETERS angstrom
8.5808 0.0000 0.0000
0.0000 9.4524 0.6146
-4.2904 -4.2909 6.0676
ATOMIC_POSITIONS crystal
Pr 0.2388 0.6888 0.9501
Pr 0.2389 0.6890 0.4778
Pr 0.2713 0.3142 0.5426
Pr 0.7114 0.6888 0.9501
Pr 0.2886 0.3112 0.0499
Pr 0.7287 0.6858 0.4574
Pr 0.7611 0.3110 0.5222
Pr 0.7612 0.3112 0.0499
Rh 0.5000 0.5000 0.0000
Rh 0.5000 0.5000 0.5000
Rh 0.0000 0.5000 0.5000
Se 0.0000 0.5000 0.0000
I 0.5000 0.0000 0.0000
I 0.5000 0.0000 0.5000
I 0.0000 0.0000 0.0000
I 0.0000 0.0000 0.5000
```

Output
symmetry = R-3m, No. 166
formation energy (no corrections) = -1.013 eV/atom

# 6
Material: LiInHg2
Method: DFT, PBE
State: relaxed Values from VASP.

Geometry as Quantum ESPRESSO input:
```
&SYSTEM
  ibrav = 0, nat = 8, ntyp = 3
/
ATOMIC_SPECIES
Li 6.94 Li.upf
Hg 200.59 Hg.upf
In 114.82 In.upf
CELL_PARAMETERS angstrom
-7.4801 0.9996 2.3840
-2.5080 -4.5743 -5.9514
-4.7476 -4.2987 0.0426
ATOMIC_POSITIONS crystal
Li 0.5000 0.5000 0.0000
Li 0.2500 0.7500 0.5000
Hg 0.5987 0.1250 0.2500
Hg 0.1513 0.6250 0.2500
Hg 0.3750 0.4013 0.7500
Hg 0.8750 0.8487 0.7500
In 0.0000 0.0000 0.0000
In 0.7500 0.2500 0.5000
```

Output
symmetry = I-42d, No. 122
formation energy = -0.093 eV/atom

# 7
Material: LaPrTm2Th
Method: DFT, PBE
State: relaxed Values from VASP.

Geometry as Quantum ESPRESSO input:
```
&SYSTEM
  ibrav = 0, nat = 10, ntyp = 4
/
ATOMIC_SPECIES
La 138.91 La.upf
Pr 140.91 Pr.upf
Tm 168.93 Tm.upf
Th 232.04 Th.upf
CELL_PARAMETERS angstrom
-4.5624 -3.2496 -1.0191
4.4340 -4.2813 -6.1989
2.2462 -4.6703 4.8362
ATOMIC_POSITIONS crystal
La 0.0000 0.0000 0.0000
La 0.0000 0.0000 0.5000
Pr 0.9998 0.5000 0.7500
Pr 0.0002 0.5000 0.2500
Tm 0.5002 0.6801 0.9998
Tm 0.5002 0.3199 0.5002
Tm 0.4998 0.6801 0.4998
Tm 0.4998 0.3199 0.0002
Th 0.5000 0.0000 0.2500
Th 0.5000 0.0000 0.7500
```

Output
symmetry = Pmmm, No. 47
formation energy = 0.258 eV/atom

# 8
Material: Ta2AgSb
Method: DFT, PBE
State: relaxed Values from VASP.

Geometry as Quantum ESPRESSO input:
```
&SYSTEM
  ibrav = 0, nat = 4, ntyp = 3
/
ATOMIC_SPECIES
Sb 121.76 Sb.upf
Ag 107.87 Ag.upf
Ta 180.95 Ta.upf
CELL_PARAMETERS angstrom
-2.6626 0.6853 1.3350
0.0069 -3.0442 0.2725
3.8503 0.6654 7.3377
ATOMIC_POSITIONS crystal
Sb 0.5000 0.5000 0.7500
Ag 0.5000 0.5000 0.2500
Ta 0.0000 0.0000 0.0028
Ta 0.0000 0.0000 0.4972
```

Output
symmetry = Cmmm, No. 65
formation energy (no corrections) = 0.424 eV/atom

# 9
Material: LiIn2Mo
Method: DFT, PBE
State: relaxed Values from VASP.

Geometry as Quantum ESPRESSO input:
```
&SYSTEM
  ibrav = 0, nat = 4, ntyp = 3
/
ATOMIC_SPECIES
In 114.82 In.upf
Li 6.94 Li.upf
Mo 95.94 Mo.upf
CELL_PARAMETERS angstrom
-4.8989 2.7369 1.4069
-5.0137 -1.3178 -2.5681
4.5086 -1.6864 3.2091
ATOMIC_POSITIONS crystal
In 0.0083 0.0083 0.0000
In 0.7445 0.2445 0.5000
Li 0.4927 0.4927 0.0000
Mo 0.2545 0.7545 0.5000
```

Output
symmetry = Imm2, No. 44
formation energy = 0.194 eV/atom
polymorph energy (0 for the lowest one) = 102.2 meV per atom

# 10
Material: Pm8Sn2Sb
Method: DFT, PBE
State: relaxed Values from VASP.

Geometry as Quantum ESPRESSO input:
```
&SYSTEM
  ibrav = 0, nat = 11, ntyp = 3
/
ATOMIC_SPECIES
Pm 145.00 Pm.upf
Sn 118.71 Sn.upf
Sb 121.76 Sb.upf
CELL_PARAMETERS angstrom
5.0854 0.0000 0.0000
0.0000 7.1099 0.3240
-2.5427 -2.5933 9.7225
ATOMIC_POSITIONS crystal
Pm 0.4053 0.5206 0.8107
Pm 0.6594 0.0103 0.3187
Pm 0.7836 0.6655 0.5672
Pm 0.9759 0.2361 0.9517
Pm 0.2164 0.3345 0.4328
Pm 0.3406 0.9897 0.6813
Pm 0.5947 0.4794 0.1893
Pm 0.0241 0.7639 0.0483
Sn 0.8175 0.2378 0.6349
Sn 0.1825 0.7622 0.3651
Sb 0.5000 0.0000 0.0000
```

Output
symmetry = C2/m, No. 12
formation energy (no corrections) = -0.453 eV/atom

# 11
Material: BaMgBr
Method: DFT, PBE
State: relaxed Values from VASP.

Geometry as Quantum ESPRESSO input:
```
&SYSTEM
  ibrav = 0, nat = 6, ntyp = 3
/
ATOMIC_SPECIES
Mg 24.30 Mg.upf
Ba 137.33 Ba.upf
Br 79.90 Br.upf
CELL_PARAMETERS angstrom
4.5629 0.0000 0.0000
-2.2815 3.9506 0.0000
0.0000 0.0000 16.5423
ATOMIC_POSITIONS crystal
Mg 0.3488 0.6976 0.0000
Mg 0.3300 0.6601 0.5000
Ba 0.6636 0.3271 0.3316
Ba 0.6636 0.3271 0.6684
Br 0.3303 0.6606 0.7825
Br 0.3303 0.6606 0.2175
```

Output
symmetry = Amm2, No. 38
formation energy (no corrections) = -0.688 eV/atom
polymorph energy (0 for the lowest one) = 118.8 meV per atom

# 12
Material: HgAuN2
Method: DFT, PBE
State: relaxed Values from VASP.

Geometry as Quantum ESPRESSO input:
```
&SYSTEM
  ibrav = 0, nat = 8, ntyp = 3
/
ATOMIC_SPECIES
Au 196.97 Au.upf
Hg 200.59 Hg.upf
N 14.01 N.upf
CELL_PARAMETERS angstrom
4.9793 0.0000 0.0000
0.0000 4.9793 0.0000
2.4896 2.4896 5.3885
ATOMIC_POSITIONS crystal
Au 0.5000 0.5000 0.0000
Au 0.2500 0.7500 0.5000
Hg 0.0000 0.0000 0.0000
Hg 0.7500 0.2500 0.5000
N 0.5816 0.1250 0.2500
N 0.1684 0.6250 0.2500
N 0.3750 0.4184 0.7500
N 0.8750 0.8316 0.7500
```

Output
symmetry = I-42d, No. 122
formation energy (no corrections) = 1.603 eV/atom

# 13
Material: AgAs2RhSe
Method: DFT, PBE
State: relaxed Values from VASP.

Geometry as Quantum ESPRESSO input:
```
&SYSTEM
  ibrav = 0, nat = 5, ntyp = 4
/
ATOMIC_SPECIES
As 74.92 As.upf
Rh 102.91 Rh.upf
Se 78.96 Se.upf
Ag 107.87 Ag.upf
CELL_PARAMETERS angstrom
-3.2845 -3.3401 -1.9193
3.3282 -3.1033 -0.2950
-1.0901 -1.6133 4.6730
ATOMIC_POSITIONS crystal
As 0.0000 0.0000 0.5000
As 0.5000 0.0000 0.0000
Rh 0.0000 0.5000 0.0000
Se 0.0000 0.0000 0.0000
Ag 0.5000 0.5000 0.5000
```

Output
symmetry = P4/mmm, No. 123
formation energy (no corrections) = 0.828 eV/atom
polymorph energy (0 for the lowest one) = 385.7 meV per atom

# 14
Material: SrCS3
Method: DFT, PBE
State: relaxed Values from VASP.

Geometry as Quantum ESPRESSO input:
```
&SYSTEM
  ibrav = 0, nat = 5, ntyp = 3
/
ATOMIC_SPECIES
Sr 87.62 Sr.upf
S 32.06 S.upf
C 12.01 C.upf
CELL_PARAMETERS angstrom
5.7605 0.0000 0.0000
0.0000 5.7605 0.0000
0.0000 0.0000 5.7605
ATOMIC_POSITIONS crystal
Sr 0.0000 0.0000 0.0000
S 0.0000 0.5000 0.0000
S 0.0000 0.0000 0.5000
S 0.5000 0.0000 0.0000
C 0.5000 0.5000 0.5000
```

Output
symmetry = Pm-3m, No. 221
formation energy (no corrections) = 1.709 eV/atom
polymorph energy (0 for the lowest one) = 1477.7 meV per atom

# 15
Material: Tb2Ga2CuNi5
Method: DFT, PBE
State: relaxed Values from VASP.

Geometry as Quantum ESPRESSO input:
```
&SYSTEM
  ibrav = 0, nat = 20, ntyp = 4
/
ATOMIC_SPECIES
Tb 158.93 Tb.upf
Ga 69.72 Ga.upf
Cu 63.55 Cu.upf
Ni 58.69 Ni.upf
CELL_PARAMETERS angstrom
-2.1504 2.5825 0.2146
-1.9721 -2.3912 9.0158
7.0666 5.6317 3.0394
ATOMIC_POSITIONS crystal
Tb 0.0000 0.6755 0.1755
Tb 0.0000 0.3245 0.8245
Tb 0.0000 0.1755 0.3245
Tb 0.0000 0.8245 0.6755
Ga 0.0000 0.1237 0.6237
Ga 0.0000 0.8763 0.3763
Ga 0.0000 0.6237 0.8763
Ga 0.0000 0.3763 0.1237
Cu 0.0000 0.0000 0.0000
Cu 0.0000 0.5000 0.5000
Ni 0.5000 0.1954 0.0547
Ni 0.5000 0.8046 0.9453
Ni 0.5000 0.0547 0.8046
Ni 0.5000 0.6954 0.4453
Ni 0.5000 0.9453 0.1954
Ni 0.5000 0.3046 0.5547
Ni 0.5000 0.5547 0.6954
Ni 0.5000 0.4453 0.3046
Ni 0.5000 0.5000 0.0000
Ni 0.5000 0.0000 0.5000
```

Output
symmetry = P4/mbm, No. 127
formation energy = -0.264 eV/atom

# 16
Material: BaSrBr2
Method: DFT, PBE
State: relaxed Values from VASP.

Geometry as Quantum ESPRESSO input:
```
&SYSTEM
  ibrav = 0, nat = 4, ntyp = 3
/
ATOMIC_SPECIES
Sr 87.62 Sr.upf
Ba 137.33 Ba.upf
Br 79.90 Br.upf
CELL_PARAMETERS angstrom
-10.6265 2.7383 -2.1321
-10.1874 2.6834 3.7394
11.1476 0.1384 -0.8240
ATOMIC_POSITIONS crystal
Sr 0.4661 0.4661 0.0000
Ba 0.2853 0.7853 0.5000
Br 0.0304 0.0304 0.0000
Br 0.7182 0.2182 0.5000
```

Output
symmetry = Imm2, No. 44
formation energy (no corrections) = -1.444 eV/atom
polymorph energy (0 for the lowest one) = 56.4 meV per atom

# 17
Material: SmScNi2
Method: DFT, PBE
State: relaxed Values from VASP.

Geometry as Quantum ESPRESSO input:
```
&SYSTEM
  ibrav = 0, nat = 4, ntyp = 3
/
ATOMIC_SPECIES
Sc 44.96 Sc.upf
Ni 58.69 Ni.upf
Sm 150.36 Sm.upf
CELL_PARAMETERS angstrom
-0.3363 2.0192 -2.5261
1.3604 -3.4490 -2.9381
-4.5043 -1.3608 -0.4881
ATOMIC_POSITIONS crystal
Sc 0.5000 0.5000 0.5000
Ni 0.0000 0.0000 0.5000
Ni 0.0000 0.5000 0.0000
Sm 0.5000 0.0000 0.0000
```

Output
symmetry = P4/mmm, No. 123
formation energy = -0.341 eV/atom
polymorph energy (0 for the lowest one) = 55.0 meV per atom

# 18
Material: Cd3GePb
Method: DFT, PBE
State: relaxed Values from VASP.

Geometry as Quantum ESPRESSO input:
```
&SYSTEM
  ibrav = 0, nat = 5, ntyp = 3
/
ATOMIC_SPECIES
Pb 207.20 Pb.upf
Ge 72.64 Ge.upf
Cd 112.41 Cd.upf
CELL_PARAMETERS angstrom
5.2755 0.0000 0.0000
0.0000 5.2755 0.0000
0.0000 0.0000 5.2755
ATOMIC_POSITIONS crystal
Pb 0.5000 0.5000 0.5000
Ge 0.0000 0.0000 0.0000
Cd 0.0000 0.5000 0.0000
Cd 0.0000 0.0000 0.5000
Cd 0.5000 0.0000 0.0000
```

Output
symmetry = Pm-3m, No. 221
formation energy = 0.349 eV/atom
polymorph energy (0 for the lowest one) = 0.0 meV per atom